The following is a DFT calculation (GGA-PBE) of an optimized crystal structure of PmSc2Au.

Cell lengths 6.202, 6.202, 7.429 Å; angles 90.00, 90.00, 134.87 degrees
Positions (direct):
Pm 0.056 0.944 0.750
Pm 0.944 0.056 0.250
Sc 0.350 0.650 0.542
Sc 0.350 0.650 0.958
Sc 0.650 0.350 0.042
Sc 0.650 0.350 0.458
Au 0.207 0.793 0.250
Au 0.793 0.207 0.750

VASP energy = -44.790 eV per cell
relative energy among the computed polymorphs = 0.0 kJ/mol of formula units
calculated formation energy = -426 meV/atom
density of states at the Fermi level = 1.47 states/eV/atom



The following is a DFT calculation (GGA-PBE) of an optimized crystal structure of HfMn3Hg.

Cell lengths 4.884, 4.884, 4.884 Å; angles 90.00, 90.00, 90.00 degrees
Positions (direct):
Hf 0.000 0.000 0.000
Mn 0.000 0.500 0.500
Mn 0.500 0.000 0.500
Mn 0.500 0.500 0.000
Hg 0.500 0.500 0.500

VASP energy = -31.169 eV per cell
relative energy among the computed polymorphs = 2.1 kJ/mol of formula units
calculated formation energy = 1319 meV/atom
density of states at the Fermi level = 1.01 states/eV/atom